[1]
PBE Zn2TcRh, relaxed; energy relative to the elements = 0.01 eV/atom; E_tot = -20.21 eV/cell; calculated density = 9.68 g cm⁻³
1.0
-1.7206 1.4691 3.6771
-4.0721 1.4336 0.0564
-3.0639 -2.2811 2.0123
Zn Rh Tc
2 1 1
direct
0.2500 0.2500 0.2500
0.7500 0.7500 0.7500
0.5000 0.5000 0.5000
0.0000 0.0000 0.0000

---

[2]
PBE Zn2TcRh, relaxed; energy relative to the elements = -0.04 eV/atom; E_tot = -20.42 eV/cell; calculated density = 9.63 g cm⁻³
1.0
-1.5050 4.9868 -7.0019
-4.1130 4.2299 -6.4305
-2.9814 6.4024 -5.1264
Zn Rh Tc
2 1 1
direct
0.9981 0.9981 0.9981
0.5019 0.5019 0.5019
0.2500 0.2500 0.2500
0.7500 0.7500 0.7500

---

[3]
PBE ZnTc2Rh, relaxed; energy relative to the elements = 0.06 eV/atom; E_tot = -29.11 eV/cell; calculated density = 10.55 g cm⁻³
1.0
4.9085 0.0127 -0.0067
-2.3236 4.3237 -0.0067
0.0038 0.0064 2.6972
Tc Rh Zn
2 1 1
direct
0.0000 0.0000 0.0000
0.5000 0.5000 0.0000
0.0000 0.5000 0.5000
0.5000 0.0000 0.5000

---

[4]
PBE ZnTc2Rh, relaxed; energy relative to the elements = 0.64 eV/atom; E_tot = -53.61 eV/cell; calculated density = 9.51 g cm⁻³
1.0
-1.8592 1.9448 6.5854
-6.8445 0.0206 -1.9384
-4.5458 -1.4347 2.9826
Tc Rh Zn
4 2 2
direct
0.8750 0.8950 0.7500
0.3750 0.3550 0.7500
0.6450 0.1250 0.2500
0.1050 0.6250 0.2500
0.0000 0.0000 0.0000
0.7500 0.2500 0.5000
0.5000 0.5000 0.0000
0.2500 0.7500 0.5000

---

[5]
PBE Zn2TcRh2, relaxed; energy relative to the elements = 0.11 eV/atom; E_tot = -54.16 eV/cell; calculated density = 9.92 g cm⁻³
1.0
-6.5809 2.3212 -1.5968
-2.7488 -4.3998 4.9327
0.2452 2.0426 1.9586
Zn Tc Rh
4 2 4
direct
0.3347 0.1653 0.5000
0.1653 0.6653 0.5000
0.6653 0.8347 0.5000
0.8347 0.3347 0.5000
0.5000 0.5000 0.0000
0.0000 0.0000 0.0000
0.8665 0.6335 0.0000
0.3665 0.8665 0.0000
0.6335 0.1335 0.0000
0.1335 0.3665 0.0000

---

[6]
PBE ZnTc2Rh, relaxed; energy relative to the elements = 0.26 eV/atom; E_tot = -28.34 eV/cell; calculated density = 10.44 g cm⁻³
1.0
-3.3385 0.0704 3.2255
2.7797 -2.2934 2.9271
0.9486 2.3377 0.9308
Tc Rh Zn
2 1 1
direct
0.0000 0.0000 0.0000
0.5000 0.5000 0.0000
0.0000 0.5000 0.5000
0.5000 0.0000 0.5000

---

[7]
PBE Zn2TcRh, relaxed; energy relative to the elements = 0.03 eV/atom; E_tot = -20.13 eV/cell; calculated density = 9.52 g cm⁻³
1.0
-1.5427 -1.4415 -1.8305
-2.2825 -2.0246 3.5180
-2.9982 3.2810 -0.0570
Zn Rh Tc
2 1 1
direct
0.5000 0.5000 0.0000
0.0000 0.0000 0.0000
0.5000 0.0000 0.5000
0.0000 0.5000 0.5000

---

[8]
PBE ZnTc2Rh, relaxed; energy relative to the elements = 0.00 eV/atom; E_tot = -29.36 eV/cell; calculated density = 10.58 g cm⁻³
1.0
-0.9572 -2.2160 -3.3207
1.8839 -1.8661 0.7023
-1.6127 -4.3855 3.3913
Tc Rh Zn
2 1 1
direct
0.0000 0.9845 0.0155
0.0000 0.5155 0.4845
0.5000 0.7500 0.7500
0.5000 0.2500 0.2500

---

The evaluated calculated volume for the records listed, in turn: 14.227, 14.304, 14.330, 15.897, 14.556, 14.490, 14.460, 14.301 Å³ per atom.